Version P
This record from the Alexandria database describes a geometry-optimized ThCdTe2 structure. The functional is PBE.

a = 3.940 Å, b = 3.940 Å, c = 7.476 Å
α = 90.00°, β = 90.00°, γ = 90.00°
Fractional positions:
Th: 0.000 0.000 0.000
Cd: 0.000 0.000 0.500
Te: 0.500 0.500 0.235
Te: 0.500 0.500 0.765

Properties
- SG: No. 123

***

Version Q
This record from the Alexandria database describes a geometry-optimized ThCdTe2 structure. The functional is PBE.

a = 9.896 Å, b = 9.896 Å, c = 9.896 Å
α = 26.08°, β = 26.08°, γ = 26.08°
Fractional positions:
Th: 0.000 0.000 0.000
Cd: 0.831 0.831 0.831
Te: 0.397 0.397 0.397
Te: 0.604 0.604 0.604

Properties
- SG: No. 160

***

Version R
This record from the Alexandria database describes a geometry-optimized ThCdTe2 structure. The functional is PBE.

a = 11.134 Å, b = 11.134 Å, c = 11.134 Å
α = 23.23°, β = 23.23°, γ = 23.23°
Fractional positions:
Th: 0.000 0.000 0.000
Cd: 0.500 0.500 0.500
Te: 0.388 0.388 0.388
Te: 0.612 0.612 0.612

Properties
- SG: No. 166

***

Which structure is most stable? version P, by 0.076 eV/atom over the runner-up.

***

Version P
This record from the Alexandria database describes a geometry-optimized TlCd2Te structure. The functional is PBE.

a = 11.797 Å, b = 11.797 Å, c = 11.797 Å
α = 16.05°, β = 16.05°, γ = 16.05°
Fractional positions:
Tl: 0.000 0.000 0.000
Cd: 0.491 0.491 0.491
Cd: 0.747 0.747 0.747
Te: 0.241 0.241 0.241

Properties
- SG: No. 160

***

Version Q
This record from the Alexandria database describes a geometry-optimized TlCd2Te structure. The functional is PBE.

a = 3.276 Å, b = 3.276 Å, c = 10.873 Å
α = 90.00°, β = 90.00°, γ = 105.69°
Fractional positions:
Tl: 0.000 0.000 0.000
Cd: 0.500 0.500 0.253
Cd: 0.500 0.500 0.747
Te: 0.000 0.000 0.500

Properties
- SG: No. 65

***

Version R
This record from the Alexandria database describes a geometry-optimized TlCd2Te structure. The functional is PBE.

a = 3.176 Å, b = 5.484 Å, c = 6.571 Å
α = 90.00°, β = 90.00°, γ = 90.00°
Fractional positions:
Tl: 0.000 0.000 0.000
Cd: 0.500 0.500 0.239
Cd: 0.500 0.500 0.761
Te: 0.500 0.000 0.500

Properties
- SG: No. 47

***

Which structure is most stable? version R, by 0.081 eV/atom over the runner-up.

***

Version P
This record from the Alexandria database describes a geometry-optimized TlCd2Te structure. The functional is PBE.

a = 3.238 Å, b = 4.405 Å, c = 7.975 Å
α = 90.00°, β = 90.00°, γ = 90.00°
Fractional positions:
Tl: 0.000 0.000 0.000
Cd: 0.500 0.500 0.254
Cd: 0.500 0.500 0.746
Te: 0.000 0.000 0.500

Properties
- SG: No. 47

***

Version Q
This record from the Alexandria database describes a geometry-optimized TlCd2Te structure. The functional is PBE.

a = 5.957 Å, b = 5.957 Å, c = 5.957 Å
α = 132.38°, β = 132.38°, γ = 69.63°
Fractional positions:
Tl: 0.000 0.000 0.000
Cd: 0.250 0.750 0.500
Cd: 0.750 0.250 0.500
Te: 0.500 0.500 0.000

Properties
- SG: No. 139

***

Version R
This record from the Alexandria database describes a geometry-optimized TlCd2Te structure. The functional is PBE.

a = 7.851 Å, b = 7.851 Å, c = 7.851 Å
α = 32.47°, β = 32.47°, γ = 32.47°
Fractional positions:
Tl: 0.000 0.000 0.000
Cd: 0.577 0.577 0.577
Cd: 0.758 0.758 0.758
Te: 0.171 0.171 0.171

Properties
- SG: No. 160

***

Version S
This record from the Alexandria database describes a geometry-optimized TlCd2Te structure. The functional is PBE.

a = 6.796 Å, b = 6.796 Å, c = 6.796 Å
α = 104.38°, β = 104.38°, γ = 120.22°
Fractional positions:
Tl: 0.000 0.000 0.000
Tl: 0.750 0.250 0.500
Cd: 0.140 0.625 0.015
Cd: 0.375 0.390 0.515
Cd: 0.610 0.125 0.985
Cd: 0.875 0.860 0.485
Te: 0.250 0.750 0.500
Te: 0.500 0.500 0.000

Properties
- SG: No. 122

***

Which structure is most stable? version S, by 0.016 eV/atom over the runner-up.

***

Version P
This record from the Alexandria database describes a geometry-optimized TlCd2Te structure. The functional is PBE.

a = 5.182 Å, b = 5.182 Å, c = 6.153 Å
α = 106.98°, β = 106.98°, γ = 47.64°
Fractional positions:
Tl: 0.000 0.000 0.000
Cd: 0.243 0.243 0.747
Cd: 0.757 0.757 0.253
Te: 0.500 0.500 0.500

Properties
- SG: No. 12

***

Version Q
This record from the Alexandria database describes a geometry-optimized TlCd2Te structure. The functional is PBE.

a = 11.798 Å, b = 11.798 Å, c = 11.798 Å
α = 16.10°, β = 16.10°, γ = 16.10°
Fractional positions:
Tl: 0.000 0.000 0.000
Cd: 0.253 0.253 0.253
Cd: 0.747 0.747 0.747
Te: 0.500 0.500 0.500

Properties
- SG: No. 166

***

Version R
This record from the Alexandria database describes a geometry-optimized TlCd2Te structure. The functional is PBE.

a = 5.465 Å, b = 5.465 Å, c = 5.465 Å
α = 60.00°, β = 60.00°, γ = 60.00°
Fractional positions:
Tl: 0.000 0.000 0.000
Cd: 0.250 0.250 0.250
Cd: 0.750 0.750 0.750
Te: 0.500 0.500 0.500

Properties
- SG: No. 225

***

Which structure is most stable? version P, by 0.075 eV/atom over the runner-up.

***

Version P
This record from the Alexandria database describes a geometry-optimized TlCd2Te structure. The functional is PBE.

a = 3.888 Å, b = 3.888 Å, c = 7.578 Å
α = 90.00°, β = 90.00°, γ = 90.00°
Fractional positions:
Tl: 0.000 0.000 0.000
Cd: 0.000 0.000 0.499
Cd: 0.500 0.500 0.279
Te: 0.500 0.500 0.700

Properties
- SG: No. 99

***

Version Q
This record from the Alexandria database describes a geometry-optimized TlCd2Te structure. The functional is PBE.

a = 6.822 Å, b = 6.822 Å, c = 3.174 Å
α = 102.53°, β = 102.53°, γ = 120.75°
Fractional positions:
Tl: 0.000 0.000 0.000
Cd: 0.000 0.500 0.000
Cd: 0.500 0.000 0.000
Te: 0.500 0.500 0.000

Properties
- SG: No. 12

***

Which structure is most stable? version P, by 0.022 eV/atom over the runner-up.

***

Version P
This record from the Alexandria database describes a geometry-optimized Tl2CdTe structure. The functional is PBE.

a = 7.861 Å, b = 7.861 Å, c = 7.861 Å
α = 35.28°, β = 35.28°, γ = 35.28°
Fractional positions:
Tl: 0.000 0.000 0.000
Tl: 0.163 0.163 0.163
Cd: 0.588 0.588 0.588
Te: 0.417 0.417 0.417

Properties
- SG: No. 160

***

Version Q
This record from the Alexandria database describes a geometry-optimized Tl2CdTe structure. The functional is PBE.

a = 5.606 Å, b = 5.606 Å, c = 5.606 Å
α = 60.00°, β = 60.00°, γ = 60.00°
Fractional positions:
Tl: 0.000 0.000 0.000
Tl: 0.250 0.250 0.250
Cd: 0.500 0.500 0.500
Te: 0.750 0.750 0.750

Properties
- SG: No. 216

***

Which structure is most stable? version P, by 0.064 eV/atom over the runner-up.